(1)
{
  "formula": "V2CuMoPd",
  "functional": "PBE-GGA",
  "state": "relaxed",
  "e_form_ev_per_atom": 1.251,
  "spacegroup": "No. 123",
  "m_tot_mub_per_cell": 0.000,
  "lattice_angstrom": [[4.333, 0.000, 0.000], [0.000, 4.435, 0.000], [0.000, 0.000, 4.333]],
  "species": ["Mo", "Cu", "Pd", "V", "V"],
  "frac_coords": [[0.500, 0.500, 0.500], [0.000, 0.000, 0.000], [0.000, 0.500, 0.000], [0.000, 0.000, 0.500], [0.500, 0.000, 0.000]]
}


(2)
{
  "formula": "ZnCuMo2Pd",
  "functional": "PBE-GGA",
  "state": "relaxed",
  "e_form_ev_per_atom": 1.674,
  "spacegroup": "No. 123",
  "m_tot_mub_per_cell": 3.225,
  "lattice_angstrom": [[-2.217, 1.560, -3.986], [2.158, -3.287, -2.486], [-3.650, -3.034, 0.843]],
  "species": ["Mo", "Mo", "Cu", "Zn", "Pd"],
  "frac_coords": [[0.000, 0.000, 0.500], [0.500, 0.000, 0.000], [0.500, 0.500, 0.500], [0.000, 0.500, 0.000], [0.000, 0.000, 0.000]]
}


(3)
{
  "formula": "ZrCuMoPd2",
  "functional": "PBE-GGA",
  "state": "relaxed",
  "e_form_ev_per_atom": 1.437,
  "spacegroup": "No. 123",
  "m_tot_mub_per_cell": 0.000,
  "lattice_angstrom": [[-2.181, -4.210, 0.324], [0.332, -0.530, -4.661], [4.209, -2.139, 0.543]],
  "species": ["Mo", "Cu", "Zr", "Pd", "Pd"],
  "frac_coords": [[0.500, 0.500, 0.500], [0.000, 0.500, 0.000], [0.000, 0.000, 0.000], [0.000, 0.000, 0.500], [0.500, 0.000, 0.000]]
}


(4)
{
  "formula": "CuMoPt",
  "functional": "PBE-GGA",
  "state": "relaxed",
  "e_form_ev_per_atom": 0.291,
  "e_above_lowest_polymorph_mev_per_atom": 416.4,
  "spacegroup": "No. 216",
  "m_tot_mub_per_cell": 0.005,
  "lattice_angstrom": [[4.183, 0.000, 0.000], [2.091, 3.622, 0.000], [2.091, 1.207, 3.415]],
  "species": ["Cu", "Mo", "Pt"],
  "frac_coords": [[0.000, 0.000, 0.000], [0.500, 0.500, 0.500], [0.750, 0.750, 0.750]]
}


(5)
{
  "formula": "Cu4MoPt5",
  "functional": "PBE-GGA",
  "state": "relaxed",
  "e_form_ev_per_atom": -0.205,
  "spacegroup": "No. 123",
  "m_tot_mub_per_cell": 0.000,
  "lattice_angstrom": [[-0.231, -1.313, 2.449], [-2.306, -1.280, -0.904], [10.186, -13.799, -6.438]],
  "species": ["Cu", "Cu", "Cu", "Cu", "Mo", "Pt", "Pt", "Pt", "Pt", "Pt"],
  "frac_coords": [[0.000, 0.000, 0.207], [0.000, 0.000, 0.402], [0.000, 0.000, 0.598], [0.000, 0.000, 0.793], [0.000, 0.000, 0.000], [0.500, 0.500, 0.105], [0.500, 0.500, 0.304], [0.500, 0.500, 0.500], [0.500, 0.500, 0.696], [0.500, 0.500, 0.895]]
}


(6)
{
  "formula": "CuMo2Pt2",
  "functional": "PBE-GGA",
  "state": "relaxed",
  "e_form_ev_per_atom": 0.264,
  "e_above_lowest_polymorph_mev_per_atom": 156.5,
  "spacegroup": "No. 139",
  "m_tot_mub_per_cell": 0.000,
  "lattice_angstrom": [[6.423, 1.641, 2.512], [5.203, 4.605, -1.409], [-6.861, -1.452, 1.037]],
  "species": ["Cu", "Mo", "Mo", "Pt", "Pt"],
  "frac_coords": [[0.000, 0.000, 0.000], [0.250, 0.750, 0.500], [0.750, 0.250, 0.500], [0.597, 0.597, 0.000], [0.403, 0.403, 0.000]]
}


(7)
{
  "formula": "CuMoPt2",
  "functional": "PBE-GGA",
  "state": "relaxed",
  "e_form_ev_per_atom": -0.005,
  "e_above_lowest_polymorph_mev_per_atom": 289.2,
  "spacegroup": "No. 225",
  "m_tot_mub_per_cell": 0.000,
  "lattice_angstrom": [[4.280, -1.010, -0.337], [1.285, -4.218, 0.096], [1.531, -1.923, -3.662]],
  "species": ["Mo", "Cu", "Pt", "Pt"],
  "frac_coords": [[0.500, 0.500, 0.500], [0.000, 0.000, 0.000], [0.250, 0.250, 0.250], [0.750, 0.750, 0.750]]
}


(8)
{
  "formula": "Cu2Mo2Pt3",
  "functional": "PBE-GGA",
  "state": "relaxed",
  "e_form_ev_per_atom": -0.016,
  "spacegroup": "No. 65",
  "m_tot_mub_per_cell": 0.000,
  "lattice_angstrom": [[4.197, 0.000, 0.557], [0.000, 2.713, 0.000], [0.892, 0.000, 9.367]],
  "species": ["Cu", "Cu", "Mo", "Mo", "Pt", "Pt", "Pt"],
  "frac_coords": [[0.568, 0.500, 0.864], [0.432, 0.500, 0.136], [0.711, 0.500, 0.579], [0.289, 0.500, 0.421], [0.852, 0.000, 0.296], [0.000, 0.000, 0.000], [0.148, 0.000, 0.704]]
}


(9)
{
  "formula": "CuMoPt2",
  "functional": "PBE-GGA",
  "state": "relaxed",
  "e_form_ev_per_atom": -0.017,
  "e_above_lowest_polymorph_mev_per_atom": 277.1,
  "spacegroup": "No. 123",
  "m_tot_mub_per_cell": 0.000,
  "lattice_angstrom": [[4.707, 0.000, 0.000], [0.000, 4.707, 0.000], [0.000, 0.000, 2.752]],
  "species": ["Cu", "Mo", "Pt", "Pt"],
  "frac_coords": [[0.500, 0.000, 0.500], [0.000, 0.500, 0.500], [0.000, 0.000, 0.000], [0.500, 0.500, 0.000]]
}


(10)
{
  "formula": "CuMoPt2",
  "functional": "PBE-GGA",
  "state": "relaxed",
  "e_form_ev_per_atom": 0.356,
  "e_above_lowest_polymorph_mev_per_atom": 649.8,
  "spacegroup": "No. 122",
  "m_tot_mub_per_cell": 0.000,
  "lattice_angstrom": [[6.946, 0.000, 0.000], [0.000, 6.946, 0.000], [3.473, 3.473, 2.708]],
  "species": ["Mo", "Mo", "Cu", "Cu", "Pt", "Pt", "Pt", "Pt"],
  "frac_coords": [[0.000, 0.000, 0.000], [0.750, 0.250, 0.500], [0.500, 0.500, 0.000], [0.250, 0.750, 0.500], [0.623, 0.125, 0.250], [0.127, 0.625, 0.250], [0.375, 0.377, 0.750], [0.875, 0.873, 0.750]]
}


(11)
{
  "formula": "Cu2MoPt9",
  "functional": "PBE-GGA",
  "state": "relaxed",
  "e_form_ev_per_atom": -0.183,
  "spacegroup": "No. 123",
  "m_tot_mub_per_cell": 0.000,
  "lattice_angstrom": [[-2.552, 0.665, 2.910], [-0.267, -3.864, 0.649], [8.896, 0.668, 7.647]],
  "species": ["Cu", "Cu", "Mo", "Pt", "Pt", "Pt", "Pt", "Pt", "Pt", "Pt", "Pt", "Pt"],
  "frac_coords": [[0.000, 0.000, 0.337], [0.000, 0.000, 0.663], [0.000, 0.000, 0.000], [0.500, 0.500, 0.000], [0.500, 0.500, 0.334], [0.500, 0.500, 0.666], [0.500, 0.000, 0.166], [0.500, 0.000, 0.500], [0.500, 0.000, 0.834], [0.000, 0.500, 0.166], [0.000, 0.500, 0.500], [0.000, 0.500, 0.834]]
}


(12)
{
  "formula": "CuMoPt6",
  "functional": "PBE-GGA",
  "state": "relaxed",
  "e_form_ev_per_atom": -0.236,
  "spacegroup": "No. 123",
  "m_tot_mub_per_cell": 0.001,
  "lattice_angstrom": [[3.955, 0.000, 0.000], [0.000, 3.955, 0.000], [0.000, 0.000, 7.785]],
  "species": ["Cu", "Mo", "Pt", "Pt", "Pt", "Pt", "Pt", "Pt"],
  "frac_coords": [[0.000, 0.000, 0.000], [0.000, 0.000, 0.500], [0.500, 0.500, 0.000], [0.500, 0.500, 0.500], [0.500, 0.000, 0.251], [0.500, 0.000, 0.749], [0.000, 0.500, 0.251], [0.000, 0.500, 0.749]]
}


(13)
{
  "formula": "CuMoPt2",
  "functional": "PBE-GGA",
  "state": "relaxed",
  "e_form_ev_per_atom": -0.294,
  "e_above_lowest_polymorph_mev_per_atom": 0.0,
  "spacegroup": "No. 123",
  "m_tot_mub_per_cell": 0.000,
  "lattice_angstrom": [[-2.272, 0.103, -1.617], [-0.126, -2.788, -0.001], [-4.373, 0.195, 6.159]],
  "species": ["Mo", "Cu", "Pt", "Pt"],
  "frac_coords": [[0.500, 0.500, 0.500], [0.500, 0.500, 0.000], [0.000, 0.000, 0.756], [0.000, 0.000, 0.244]]
}


(14)
{
  "formula": "CuMoPt2",
  "functional": "PBE-GGA",
  "state": "relaxed",
  "e_form_ev_per_atom": -0.132,
  "e_above_lowest_polymorph_mev_per_atom": 161.7,
  "spacegroup": "No. 65",
  "m_tot_mub_per_cell": 0.000,
  "lattice_angstrom": [[4.790, 0.014, -0.014], [-1.560, 4.529, -0.014], [0.008, 0.011, 2.740]],
  "species": ["Cu", "Mo", "Pt", "Pt"],
  "frac_coords": [[0.500, 0.000, 0.500], [0.000, 0.500, 0.500], [0.000, 0.000, 0.000], [0.500, 0.500, 0.000]]
}


(15)
{
  "formula": "CuMoPt",
  "functional": "PBE-GGA",
  "state": "relaxed",
  "e_form_ev_per_atom": 0.516,
  "e_above_lowest_polymorph_mev_per_atom": 641.1,
  "spacegroup": "No. 216",
  "m_tot_mub_per_cell": 0.819,
  "lattice_angstrom": [[4.205, 0.000, 0.000], [2.103, 3.642, 0.000], [2.103, 1.214, 3.434]],
  "species": ["Cu", "Mo", "Pt"],
  "frac_coords": [[0.500, 0.500, 0.500], [0.750, 0.750, 0.750], [0.000, 0.000, 0.000]]
}


(16)
{
  "formula": "CuMoPt2",
  "functional": "PBE-GGA",
  "state": "relaxed",
  "e_form_ev_per_atom": -0.107,
  "e_above_lowest_polymorph_mev_per_atom": 187.2,
  "spacegroup": "No. 12",
  "m_tot_mub_per_cell": 0.000,
  "lattice_angstrom": [[4.752, 0.000, 0.012], [3.954, 2.635, 0.012], [0.796, 0.241, 4.739]],
  "species": ["Cu", "Mo", "Pt", "Pt"],
  "frac_coords": [[0.750, 0.750, 0.750], [0.250, 0.250, 0.250], [0.002, 0.002, 0.000], [0.498, 0.498, 0.500]]
}


(17)
{
  "formula": "CuMoPt2",
  "functional": "PBE-GGA",
  "state": "relaxed",
  "e_form_ev_per_atom": -0.179,
  "e_above_lowest_polymorph_mev_per_atom": 115.0,
  "spacegroup": "No. 139",
  "m_tot_mub_per_cell": 0.000,
  "lattice_angstrom": [[4.798, 0.004, 0.000], [1.685, 4.492, 0.000], [-3.242, -2.248, 2.731]],
  "species": ["Cu", "Mo", "Pt", "Pt"],
  "frac_coords": [[0.250, 0.750, 0.500], [0.750, 0.250, 0.500], [0.000, 0.000, 0.000], [0.500, 0.500, 0.000]]
}


(18)
{
  "formula": "CuMoPt2",
  "functional": "PBE-GGA",
  "state": "relaxed",
  "e_form_ev_per_atom": -0.116,
  "e_above_lowest_polymorph_mev_per_atom": 178.5,
  "spacegroup": "No. 99",
  "m_tot_mub_per_cell": 0.000,
  "lattice_angstrom": [[2.747, 0.015, 0.000], [-0.014, 2.747, 0.000], [0.000, 0.000, 7.823]],
  "species": ["Cu", "Mo", "Pt", "Pt"],
  "frac_coords": [[0.000, 0.000, 0.498], [0.500, 0.500, 0.742], [0.000, 0.000, 0.993], [0.500, 0.500, 0.266]]
}


(19)
{
  "formula": "CuMoPt",
  "functional": "PBE-GGA",
  "state": "relaxed",
  "e_form_ev_per_atom": -0.125,
  "e_above_lowest_polymorph_mev_per_atom": 0.0,
  "spacegroup": "No. 187",
  "m_tot_mub_per_cell": 0.000,
  "lattice_angstrom": [[-0.547, 4.121, -1.214], [-3.044, -2.945, -0.902], [-1.198, 0.526, 2.326]],
  "species": ["Cu", "Mo", "Pt"],
  "frac_coords": [[0.000, 0.000, 0.832], [0.667, 0.333, 0.334], [0.333, 0.667, 0.834]]
}


(20)
{
  "formula": "CuMoPt",
  "functional": "PBE-GGA",
  "state": "relaxed",
  "e_form_ev_per_atom": -0.093,
  "e_above_lowest_polymorph_mev_per_atom": 32.2,
  "spacegroup": "No. 107",
  "m_tot_mub_per_cell": 0.000,
  "lattice_angstrom": [[5.974, -0.015, 0.016], [5.337, 2.684, 0.011], [0.637, 0.155, 2.694]],
  "species": ["Cu", "Mo", "Pt"],
  "frac_coords": [[0.000, 0.000, 0.000], [0.336, 0.336, 0.664], [0.665, 0.665, 0.335]]
}


(21)
{
  "formula": "CuMoPt2",
  "functional": "PBE-GGA",
  "state": "relaxed",
  "e_form_ev_per_atom": 0.015,
  "e_above_lowest_polymorph_mev_per_atom": 309.0,
  "spacegroup": "No. 216",
  "m_tot_mub_per_cell": 0.000,
  "lattice_angstrom": [[-3.619, 1.920, 1.578], [-3.501, 0.550, -2.592], [-3.629, -2.377, 0.678]],
  "species": ["Cu", "Mo", "Pt", "Pt"],
  "frac_coords": [[0.500, 0.500, 0.500], [0.250, 0.250, 0.250], [0.000, 0.000, 0.000], [0.750, 0.750, 0.750]]
}


(22)
{
  "formula": "CuMoPt2",
  "functional": "PBE-GGA",
  "state": "relaxed",
  "e_form_ev_per_atom": -0.174,
  "e_above_lowest_polymorph_mev_per_atom": 119.9,
  "spacegroup": "No. 160",
  "m_tot_mub_per_cell": 0.000,
  "lattice_angstrom": [[2.821, 0.000, 0.000], [1.411, 2.443, 0.000], [1.411, 0.814, 8.681]],
  "species": ["Cu", "Mo", "Pt", "Pt"],
  "frac_coords": [[0.667, 0.667, 0.000], [0.500, 0.500, 0.499], [0.083, 0.083, 0.752], [0.251, 0.251, 0.248]]
}


(23)
{
  "formula": "Cu2MoPt2",
  "functional": "PBE-GGA",
  "state": "relaxed",
  "e_form_ev_per_atom": 0.044,
  "e_above_lowest_polymorph_mev_per_atom": 0.0,
  "spacegroup": "No. 127",
  "m_tot_mub_per_cell": 0.000,
  "lattice_angstrom": [[7.154, 0.000, 0.000], [0.000, 7.154, 0.000], [0.000, 0.000, 2.809]],
  "species": ["Mo", "Mo", "Cu", "Cu", "Cu", "Cu", "Pt", "Pt", "Pt", "Pt"],
  "frac_coords": [[0.000, 0.000, 0.000], [0.500, 0.500, 0.000], [0.382, 0.882, 0.000], [0.882, 0.618, 0.000], [0.618, 0.118, 0.000], [0.118, 0.382, 0.000], [0.180, 0.680, 0.500], [0.680, 0.820, 0.500], [0.820, 0.320, 0.500], [0.320, 0.180, 0.500]]
}


(24)
{
  "formula": "CuMoPt",
  "functional": "PBE-GGA",
  "state": "relaxed",
  "e_form_ev_per_atom": 0.209,
  "e_above_lowest_polymorph_mev_per_atom": 334.6,
  "spacegroup": "No. 71",
  "m_tot_mub_per_cell": 0.000,
  "lattice_angstrom": [[4.977, 0.000, 0.000], [0.000, 2.655, 0.000], [-2.488, -1.328, 7.026]],
  "species": ["Cu", "Cu", "Mo", "Mo", "Pt", "Pt"],
  "frac_coords": [[0.646, 0.146, 0.292], [0.354, 0.854, 0.708], [0.749, 0.500, 0.000], [0.251, 0.500, 0.000], [0.169, 0.669, 0.337], [0.831, 0.331, 0.663]]
}


(25)
{
  "formula": "Cu4MoPt",
  "functional": "PBE-GGA",
  "state": "relaxed",
  "e_form_ev_per_atom": 0.092,
  "spacegroup": "No. 216",
  "m_tot_mub_per_cell": 0.490,
  "lattice_angstrom": [[-3.628, -3.102, 0.441], [-3.732, 1.061, 2.816], [-4.263, 1.005, -1.948]],
  "species": ["Cu", "Cu", "Cu", "Cu", "Mo", "Pt"],
  "frac_coords": [[0.875, 0.375, 0.375], [0.375, 0.375, 0.875], [0.375, 0.875, 0.375], [0.375, 0.375, 0.375], [0.750, 0.750, 0.750], [0.000, 0.000, 0.000]]
}


(26)
{
  "formula": "CuMoPt2",
  "functional": "PBE-GGA",
  "state": "relaxed",
  "e_form_ev_per_atom": -0.125,
  "e_above_lowest_polymorph_mev_per_atom": 169.0,
  "spacegroup": "No. 119",
  "m_tot_mub_per_cell": 0.000,
  "lattice_angstrom": [[4.835, -0.012, -0.013], [1.784, 4.493, 0.013], [-3.303, -2.251, 2.720]],
  "species": ["Cu", "Mo", "Pt", "Pt"],
  "frac_coords": [[0.500, 0.500, 0.000], [0.750, 0.250, 0.500], [0.000, 0.000, 0.000], [0.250, 0.750, 0.500]]
}


(27)
{
  "formula": "CuMoPt2",
  "functional": "PBE-GGA",
  "state": "relaxed",
  "e_form_ev_per_atom": -0.128,
  "e_above_lowest_polymorph_mev_per_atom": 165.9,
  "spacegroup": "No. 25",
  "m_tot_mub_per_cell": 0.000,
  "lattice_angstrom": [[2.780, 0.000, 0.000], [0.000, 3.988, 0.000], [0.000, 0.000, 5.375]],
  "species": ["Cu", "Mo", "Pt", "Pt"],
  "frac_coords": [[0.000, 0.000, 0.491], [0.500, 0.500, 0.756], [0.000, 0.000, 0.980], [0.500, 0.500, 0.273]]
}


(28)
{
  "formula": "CuMoPt2",
  "functional": "PBE-GGA",
  "state": "relaxed",
  "e_form_ev_per_atom": -0.180,
  "e_above_lowest_polymorph_mev_per_atom": 114.5,
  "spacegroup": "No. 8",
  "m_tot_mub_per_cell": 0.000,
  "lattice_angstrom": [[4.774, -0.006, 0.001], [3.981, 2.635, 0.001], [0.716, 0.215, 4.719]],
  "species": ["Cu", "Mo", "Pt", "Pt"],
  "frac_coords": [[0.499, 0.499, 0.512], [0.252, 0.252, 0.236], [0.999, 0.999, 0.026], [0.750, 0.750, 0.726]]
}


(29)
{
  "formula": "CuMoPt",
  "functional": "PBE-GGA",
  "state": "relaxed",
  "e_form_ev_per_atom": 0.037,
  "e_above_lowest_polymorph_mev_per_atom": 162.5,
  "spacegroup": "No. 156",
  "m_tot_mub_per_cell": 0.000,
  "lattice_angstrom": [[-0.388, 2.231, 1.591], [-2.032, -1.854, -0.304], [2.284, -3.370, 5.281]],
  "species": ["Cu", "Mo", "Pt"],
  "frac_coords": [[0.000, 0.000, 0.000], [0.667, 0.333, 0.331], [0.333, 0.667, 0.669]]
}